No. 1
# LiTbMgIn2 (PBE, relaxed)
# Total magnetic moment = 0.00 Bohr magnetons per cell
# Formation enthalpy at 0 K = -1.1 eV per formula unit
data_LiTbMgIn2
_space_group_name_H-M_alt 'P m m a'
_space_group_IT_number 51
_cell_length_a 5.766
_cell_length_b 6.436
_cell_length_c 6.353
_cell_angle_alpha 90.00
_cell_angle_beta 90.00
_cell_angle_gamma 90.00
loop_
_space_group_symop_operation_xyz
'x,y,z'
'-x,-y,-z'
'-x+1/2,-y,z'
'x+1/2,y,-z'
'x+1/2,-y,-z'
'-x+1/2,y,z'
'-x,y,-z'
'x,-y,z'
loop_
_atom_site_label
_atom_site_type_symbol
_atom_site_fract_x
_atom_site_fract_y
_atom_site_fract_z
Li1 Li 0.000 0.000 0.000
Tb1 Tb 0.250 0.500 0.212
Mg1 Mg 0.250 0.000 0.366
In1 In 0.250 0.268 0.732

No. 2
# LiTbMgIn (PBE, relaxed)
# Total magnetic moment = 0.00 Bohr magnetons per cell
# Formation enthalpy at 0 K = -1.1 eV per formula unit
data_LiTbMgIn
_space_group_name_H-M_alt 'F -4 3 m'
_space_group_IT_number 216
_space_group_name_Hall 'F -4 2 3'
_cell_length_a 7.169
_cell_length_b 7.169
_cell_length_c 7.169
_cell_angle_alpha 90.00
_cell_angle_beta 90.00
_cell_angle_gamma 90.00
loop_
_atom_site_label
_atom_site_type_symbol
_atom_site_fract_x
_atom_site_fract_y
_atom_site_fract_z
Li1 Li 0.000 0.000 0.000
Tb1 Tb 0.250 0.250 0.750
Mg1 Mg 0.250 0.250 0.250
In1 In 0.000 0.000 0.500

No. 3
# LiMgIn2Te4 (PBE, relaxed)
# Total magnetic moment = 0.00 Bohr magnetons per cell
# Formation energy without anion corrections = -556 meV/atom
data_LiMgIn2Te4
_space_group_name_H-M_alt 'F m m 2'
_space_group_IT_number 42
_space_group_name_Hall 'F 2 -2'
_cell_length_a 9.156
_cell_length_b 10.171
_cell_length_c 12.212
_cell_angle_alpha 90.00
_cell_angle_beta 90.00
_cell_angle_gamma 90.00
loop_
_atom_site_label
_atom_site_type_symbol
_atom_site_fract_x
_atom_site_fract_y
_atom_site_fract_z
Li1 Li 0.000 0.000 0.000
Mg1 Mg 0.000 0.000 0.495
In1 In 0.250 0.250 0.252
Te1 Te 0.000 0.248 0.603
Te2 Te 0.246 0.000 0.866

No. 4
# LiThMgIn2 (PBE, relaxed)
# Total magnetic moment = 0.00 Bohr magnetons per cell
# Formation enthalpy at 0 K = -1.0 eV per formula unit
data_LiThMgIn2
_space_group_name_H-M_alt 'I -4 m 2'
_space_group_IT_number 119
_space_group_name_Hall 'I -4 -2'
_cell_length_a 4.441
_cell_length_b 4.441
_cell_length_c 12.530
_cell_angle_alpha 90.00
_cell_angle_beta 90.00
_cell_angle_gamma 90.00
loop_
_atom_site_label
_atom_site_type_symbol
_atom_site_fract_x
_atom_site_fract_y
_atom_site_fract_z
Li1 Li 0.000 0.000 0.000
Th1 Th 0.000 0.500 0.250
Mg1 Mg 0.000 0.000 0.500
In1 In 0.000 0.500 0.639

No. 5
# Li2MgTl5In (PBE, relaxed)
# Total magnetic moment = 0.00 Bohr magnetons per cell
# Formation enthalpy at 0 K = -0.6 eV per formula unit
data_Li2MgTl5In
_space_group_name_H-M_alt 'C m c 21'
_space_group_IT_number 36
_cell_length_a 3.362
_cell_length_b 16.275
_cell_length_c 16.987
_cell_angle_alpha 90.00
_cell_angle_beta 90.00
_cell_angle_gamma 90.00
loop_
_space_group_symop_operation_xyz
'x,y,z'
'-x,-y,z+1/2'
'-x,y,z'
'x,-y,z+1/2'
'x+1/2,y+1/2,z'
'-x+1/2,-y+1/2,z+1/2'
'-x+1/2,y+1/2,z'
'x+1/2,-y+1/2,z+1/2'
loop_
_atom_site_label
_atom_site_type_symbol
_atom_site_fract_x
_atom_site_fract_y
_atom_site_fract_z
Li1 Li 0.000 0.067 0.000
Li2 Li 0.000 0.178 0.295
Mg1 Mg 0.000 0.187 0.695
Tl1 Tl 0.000 0.005 0.755
Tl2 Tl 0.000 0.257 0.011
Tl3 Tl 0.000 0.347 0.362
Tl4 Tl 0.000 0.365 0.642
Tl5 Tl 0.000 0.432 0.910
In1 In 0.000 0.440 0.093

No. 6
# LiMg2Tl5In (PBE, relaxed)
# Total magnetic moment = 0.00 Bohr magnetons per cell
# Formation enthalpy at 0 K = -0.3 eV per formula unit
data_LiMg2Tl5In
_space_group_name_H-M_alt 'C m c 21'
_space_group_IT_number 36
_cell_length_a 3.420
_cell_length_b 16.653
_cell_length_c 16.627
_cell_angle_alpha 90.00
_cell_angle_beta 90.00
_cell_angle_gamma 90.00
loop_
_space_group_symop_operation_xyz
'x,y,z'
'-x,-y,z+1/2'
'-x,y,z'
'x,-y,z+1/2'
'x+1/2,y+1/2,z'
'-x+1/2,-y+1/2,z+1/2'
'-x+1/2,y+1/2,z'
'x+1/2,-y+1/2,z+1/2'
loop_
_atom_site_label
_atom_site_type_symbol
_atom_site_fract_x
_atom_site_fract_y
_atom_site_fract_z
Li1 Li 0.000 0.228 0.000
Mg1 Mg 0.000 0.086 0.449
Mg2 Mg 0.000 0.107 0.769
Tl1 Tl 0.000 0.061 0.101
Tl2 Tl 0.000 0.243 0.346
Tl3 Tl 0.000 0.276 0.668
Tl4 Tl 0.000 0.386 0.105
Tl5 Tl 0.000 0.442 0.786
In1 In 0.000 0.420 0.431

No. 7
# LiMg5Tl2In (PBE, relaxed)
# Total magnetic moment = 0.00 Bohr magnetons per cell
# Formation enthalpy at 0 K = 0.7 eV per formula unit
data_LiMg5Tl2In
_space_group_name_H-M_alt 'I 4/m c m'
_space_group_IT_number 140
_space_group_name_Hall '-I 4 2c'
_cell_length_a 7.255
_cell_length_b 7.255
_cell_length_c 17.216
_cell_angle_alpha 90.00
_cell_angle_beta 90.00
_cell_angle_gamma 90.00
loop_
_atom_site_label
_atom_site_type_symbol
_atom_site_fract_x
_atom_site_fract_y
_atom_site_fract_z
Li1 Li 0.000 0.500 0.250
Mg1 Mg 0.000 0.000 0.000
Mg2 Mg 0.225 0.275 0.147
Tl1 Tl 0.141 0.359 0.500
In1 In 0.000 0.000 0.250

No. 8
# Li5Mg2TlIn2 (PBE, relaxed)
# Total magnetic moment = 0.00 Bohr magnetons per cell
# Formation enthalpy at 0 K = -1.3 eV per formula unit
data_Li5Mg2TlIn2
_space_group_name_H-M_alt 'P 4/m b m'
_space_group_IT_number 127
_space_group_name_Hall '-P 4 2ab'
_cell_length_a 10.389
_cell_length_b 10.389
_cell_length_c 3.947
_cell_angle_alpha 90.00
_cell_angle_beta 90.00
_cell_angle_gamma 90.00
loop_
_atom_site_label
_atom_site_type_symbol
_atom_site_fract_x
_atom_site_fract_y
_atom_site_fract_z
Li1 Li 0.000 0.500 0.000
Li2 Li 0.068 0.193 0.000
Mg1 Mg 0.168 0.668 0.500
Tl1 Tl 0.000 0.000 0.500
In1 In 0.130 0.370 0.500

No. 9
# Li2MgTl2In5 (PBE, relaxed)
# Total magnetic moment = 0.00 Bohr magnetons per cell
# Formation enthalpy at 0 K = -0.6 eV per formula unit
data_Li2MgTl2In5
_space_group_name_H-M_alt 'P 4/m b m'
_space_group_IT_number 127
_space_group_name_Hall '-P 4 2ab'
_cell_length_a 12.259
_cell_length_b 12.259
_cell_length_c 3.311
_cell_angle_alpha 90.00
_cell_angle_beta 90.00
_cell_angle_gamma 90.00
loop_
_atom_site_label
_atom_site_type_symbol
_atom_site_fract_x
_atom_site_fract_y
_atom_site_fract_z
Li1 Li 0.133 0.367 0.000
Mg1 Mg 0.000 0.000 0.000
Tl1 Tl 0.196 0.696 0.000
In1 In 0.000 0.500 0.500
In2 In 0.033 0.207 0.500

No. 10
# LiTm2MgIn4 (PBE, relaxed)
# Total magnetic moment = 0.00 Bohr magnetons per cell
# Formation enthalpy at 0 K = -2.5 eV per formula unit
data_LiTm2MgIn4
_space_group_name_H-M_alt 'R -3 m'
_space_group_IT_number 166
_space_group_name_Hall '-R 3 2"'
_cell_length_a 5.1384
_cell_length_b 5.1384
_cell_length_c 25.1362
_cell_angle_alpha 90.00
_cell_angle_beta 90.00
_cell_angle_gamma 120.00
loop_
_atom_site_label
_atom_site_type_symbol
_atom_site_fract_x
_atom_site_fract_y
_atom_site_fract_z
Li1 Li 0.0000 0.0000 0.0000
Tm1 Tm 0.0000 0.0000 0.2477
Mg1 Mg 0.0000 0.0000 0.5000
In1 In 0.0000 0.0000 0.1220
In2 In 0.0000 0.0000 0.3723

No. 11
# LiTmMgIn (PBE, relaxed)
# Total magnetic moment = 0.00 Bohr magnetons per cell
# Formation enthalpy at 0 K = -0.9 eV per formula unit
data_LiTmMgIn
_space_group_name_H-M_alt 'F -4 3 m'
_space_group_IT_number 216
_space_group_name_Hall 'F -4 2 3'
_cell_length_a 7.113
_cell_length_b 7.113
_cell_length_c 7.113
_cell_angle_alpha 90.00
_cell_angle_beta 90.00
_cell_angle_gamma 90.00
loop_
_atom_site_label
_atom_site_type_symbol
_atom_site_fract_x
_atom_site_fract_y
_atom_site_fract_z
Li1 Li 0.000 0.000 0.000
Tm1 Tm 0.250 0.250 0.250
Mg1 Mg 0.250 0.250 0.750
In1 In 0.000 0.000 0.500

No. 12
# Li2YMg2In2 (PBE, relaxed)
# Total magnetic moment = 0.00 Bohr magnetons per cell
# Formation enthalpy at 0 K = -1.6 eV per formula unit
data_Li2YMg2In2
_space_group_name_H-M_alt 'C 1 2/m 1'
_space_group_IT_number 12
_cell_length_a 8.836
_cell_length_b 4.847
_cell_length_c 7.492
_cell_angle_alpha 90.00
_cell_angle_beta 103.18
_cell_angle_gamma 90.00
loop_
_space_group_symop_operation_xyz
'x,y,z'
'-x,-y,-z'
'-x,y,-z'
'x,-y,z'
'x+1/2,y+1/2,z'
'-x+1/2,-y+1/2,-z'
'-x+1/2,y+1/2,-z'
'x+1/2,-y+1/2,z'
loop_
_atom_site_label
_atom_site_type_symbol
_atom_site_fract_x
_atom_site_fract_y
_atom_site_fract_z
Li1 Li 0.120 0.000 0.426
Y1 Y 0.000 0.000 0.000
Mg1 Mg 0.209 0.500 0.194
In1 In 0.105 0.500 0.738

No. 13
# LiYMg2In4 (PBE, relaxed)
# Total magnetic moment = 0.00 Bohr magnetons per cell
# Formation enthalpy at 0 K = -2.1 eV per formula unit
data_LiYMg2In4
_space_group_name_H-M_alt 'R -3 m'
_space_group_IT_number 166
_space_group_name_Hall '-R 3 2"'
_cell_length_a 5.0419
_cell_length_b 5.0419
_cell_length_c 25.5423
_cell_angle_alpha 90.00
_cell_angle_beta 90.00
_cell_angle_gamma 120.00
loop_
_atom_site_label
_atom_site_type_symbol
_atom_site_fract_x
_atom_site_fract_y
_atom_site_fract_z
Li1 Li 0.0000 0.0000 0.0000
Y1 Y 0.0000 0.0000 0.5000
Mg1 Mg 0.0000 0.0000 0.2489
In1 In 0.0000 0.0000 0.1161
In2 In 0.0000 0.0000 0.3703

No. 14
# LiMgZnIn (PBE, relaxed)
# Total magnetic moment = 0.00 Bohr magnetons per cell
# Formation enthalpy at 0 K = -0.1 eV per formula unit
data_LiMgZnIn
_space_group_name_H-M_alt 'C 1 m 1'
_space_group_IT_number 8
_cell_length_a 5.469
_cell_length_b 3.236
_cell_length_c 9.593
_cell_angle_alpha 90.00
_cell_angle_beta 101.13
_cell_angle_gamma 90.00
loop_
_space_group_symop_operation_xyz
'x,y,z'
'x,-y,z'
'x+1/2,y+1/2,z'
'x+1/2,-y+1/2,z'
loop_
_atom_site_label
_atom_site_type_symbol
_atom_site_fract_x
_atom_site_fract_y
_atom_site_fract_z
Li1 Li 0.000 0.000 0.000
Mg1 Mg 0.244 0.500 0.266
Zn1 Zn 0.490 0.000 0.503
In1 In 0.251 0.000 0.752

No. 15
# LiMg2Zn2In2 (PBE, relaxed)
# Total magnetic moment = 0.00 Bohr magnetons per cell
# Formation enthalpy at 0 K = -0.5 eV per formula unit
data_LiMg2Zn2In2
_space_group_name_H-M_alt 'R -3 m'
_space_group_IT_number 166
_space_group_name_Hall '-R 3 2"'
_cell_length_a 4.6980
_cell_length_b 4.6980
_cell_length_c 23.2443
_cell_angle_alpha 90.00
_cell_angle_beta 90.00
_cell_angle_gamma 120.00
loop_
_atom_site_label
_atom_site_type_symbol
_atom_site_fract_x
_atom_site_fract_y
_atom_site_fract_z
Li1 Li 0.0000 0.0000 0.0000
Mg1 Mg 0.0000 0.0000 0.1290
Zn1 Zn 0.0000 0.0000 0.3910
In1 In 0.0000 0.0000 0.2604

No. 16
# Li5Mg2Zn2In (PBE, relaxed)
# Total magnetic moment = 0.00 Bohr magnetons per cell
# Formation enthalpy at 0 K = -1.0 eV per formula unit
data_Li5Mg2Zn2In
_space_group_name_H-M_alt 'P 4/m b m'
_space_group_IT_number 127
_space_group_name_Hall '-P 4 2ab'
_cell_length_a 10.316
_cell_length_b 10.316
_cell_length_c 3.503
_cell_angle_alpha 90.00
_cell_angle_beta 90.00
_cell_angle_gamma 90.00
loop_
_atom_site_label
_atom_site_type_symbol
_atom_site_fract_x
_atom_site_fract_y
_atom_site_fract_z
Li1 Li 0.000 0.500 0.000
Li2 Li 0.068 0.202 0.000
Mg1 Mg 0.172 0.672 0.500
Zn1 Zn 0.124 0.376 0.500
In1 In 0.000 0.000 0.500

No. 17
# Li2Mg3ZnIn3 (PBE, relaxed)
# Total magnetic moment = 0.00 Bohr magnetons per cell
# Formation enthalpy at 0 K = -1.4 eV per formula unit
data_Li2Mg3ZnIn3
_space_group_name_H-M_alt 'P -6 2 m'
_space_group_IT_number 189
_space_group_name_Hall 'P -6 -2'
_cell_length_a 8.2544
_cell_length_b 8.2544
_cell_length_c 3.1535
_cell_angle_alpha 90.00
_cell_angle_beta 90.00
_cell_angle_gamma 120.00
loop_
_atom_site_label
_atom_site_type_symbol
_atom_site_fract_x
_atom_site_fract_y
_atom_site_fract_z
Li1 Li 0.3333 0.6667 0.0000
Mg1 Mg 0.0000 0.7113 0.0000
Zn1 Zn 0.0000 0.0000 0.5000
In1 In 0.0000 0.3673 0.5000

No. 18
# Li3MnIn (PBE, relaxed)
# Total magnetic moment = 4.27 Bohr magnetons per cell
# Formation enthalpy at 0 K = 2.9 eV per formula unit
data_Li3MnIn
_space_group_name_H-M_alt 'P m -3 m'
_space_group_IT_number 221
_space_group_name_Hall '-P 4 2 3'
_cell_length_a 4.824
_cell_length_b 4.824
_cell_length_c 4.824
_cell_angle_alpha 90.00
_cell_angle_beta 90.00
_cell_angle_gamma 90.00
loop_
_atom_site_label
_atom_site_type_symbol
_atom_site_fract_x
_atom_site_fract_y
_atom_site_fract_z
Li1 Li 0.000 0.000 0.500
Mn1 Mn 0.000 0.000 0.000
In1 In 0.500 0.500 0.500

No. 19
# LiMn2In (PBE, relaxed)
# Total magnetic moment = 6.78 Bohr magnetons per cell
# Formation enthalpy at 0 K = 0.8 eV per formula unit
data_LiMn2In
_space_group_name_H-M_alt 'P m m m'
_space_group_IT_number 47
_cell_length_a 3.949
_cell_length_b 3.971
_cell_length_c 4.086
_cell_angle_alpha 90.00
_cell_angle_beta 90.00
_cell_angle_gamma 90.00
loop_
_space_group_symop_operation_xyz
'x,y,z'
'-x,-y,-z'
'-x,-y,z'
'x,y,-z'
'x,-y,-z'
'-x,y,z'
'-x,y,-z'
'x,-y,z'
loop_
_atom_site_label
_atom_site_type_symbol
_atom_site_fract_x
_atom_site_fract_y
_atom_site_fract_z
Li1 Li 0.000 0.000 0.000
Mn1 Mn 0.000 0.500 0.500
Mn2 Mn 0.500 0.000 0.500
In1 In 0.500 0.500 0.000

No. 20
# Li2MnIn (PBE, relaxed)
# Total magnetic moment = 3.77 Bohr magnetons per cell
# Formation enthalpy at 0 K = 0.4 eV per formula unit
data_Li2MnIn
_space_group_name_H-M_alt 'P 4/m m m'
_space_group_IT_number 123
_space_group_name_Hall '-P 4 2'
_cell_length_a 3.380
_cell_length_b 3.380
_cell_length_c 6.034
_cell_angle_alpha 90.00
_cell_angle_beta 90.00
_cell_angle_gamma 90.00
loop_
_atom_site_label
_atom_site_type_symbol
_atom_site_fract_x
_atom_site_fract_y
_atom_site_fract_z
Li1 Li 0.000 0.000 0.240
Mn1 Mn 0.500 0.500 0.000
In1 In 0.500 0.500 0.500

No. 21
# LiMn2In (PBE, relaxed)
# Total magnetic moment = 6.88 Bohr magnetons per cell
# Formation enthalpy at 0 K = 1.2 eV per formula unit
data_LiMn2In
_space_group_name_H-M_alt 'P m m m'
_space_group_IT_number 47
_cell_length_a 2.898
_cell_length_b 4.070
_cell_length_c 5.550
_cell_angle_alpha 90.00
_cell_angle_beta 90.00
_cell_angle_gamma 90.00
loop_
_space_group_symop_operation_xyz
'x,y,z'
'-x,-y,-z'
'-x,-y,z'
'x,y,-z'
'x,-y,-z'
'-x,y,z'
'-x,y,-z'
'x,-y,z'
loop_
_atom_site_label
_atom_site_type_symbol
_atom_site_fract_x
_atom_site_fract_y
_atom_site_fract_z
Li1 Li 0.000 0.000 0.000
Mn1 Mn 0.500 0.500 0.243
In1 In 0.000 0.000 0.500

No. 22
# Li2MnIn (PBE, relaxed)
# Total magnetic moment = 3.92 Bohr magnetons per cell
# Formation enthalpy at 0 K = 0.3 eV per formula unit
data_Li2MnIn
_space_group_name_H-M_alt 'P 4 m m'
_space_group_IT_number 99
_cell_length_a 3.274
_cell_length_b 3.274
_cell_length_c 6.621
_cell_angle_alpha 90.00
_cell_angle_beta 90.00
_cell_angle_gamma 90.00
loop_
_space_group_symop_operation_xyz
'x,y,z'
'-y,x,z'
'-x,-y,z'
'y,-x,z'
'-x,y,z'
'y,x,z'
'x,-y,z'
'-y,-x,z'
loop_
_atom_site_label
_atom_site_type_symbol
_atom_site_fract_x
_atom_site_fract_y
_atom_site_fract_z
Li1 Li 0.000 0.000 0.000
Li2 Li 0.500 0.500 0.245
Mn1 Mn 0.000 0.000 0.480
In1 In 0.500 0.500 0.736

No. 23
# Li2MnIn (PBE, relaxed)
# Total magnetic moment = 3.40 Bohr magnetons per cell
# Formation enthalpy at 0 K = 0.2 eV per formula unit
data_Li2MnIn
_space_group_name_H-M_alt 'P m m m'
_space_group_IT_number 47
_cell_length_a 3.401
_cell_length_b 4.422
_cell_length_c 4.616
_cell_angle_alpha 90.00
_cell_angle_beta 90.00
_cell_angle_gamma 90.00
loop_
_space_group_symop_operation_xyz
'x,y,z'
'-x,-y,-z'
'-x,-y,z'
'x,y,-z'
'x,-y,-z'
'-x,y,z'
'-x,y,-z'
'x,-y,z'
loop_
_atom_site_label
_atom_site_type_symbol
_atom_site_fract_x
_atom_site_fract_y
_atom_site_fract_z
Li1 Li 0.000 0.000 0.000
Li2 Li 0.500 0.500 0.000
Mn1 Mn 0.000 0.500 0.500
In1 In 0.500 0.000 0.500